[1]
Below is a geometry-optimized Zn2InPd7 structure, with properties calculated at the PBE level.

Cell: 7.296 12.420 4.354 Å, 90.00 90.00 90.00°
Space group Cmmm (No. 65)
One atom of each set of equivalent atoms:
1 Zn 0.000 0.199 0.000 x4
2 In 0.000 0.500 0.500 x2
3 Pd 0.000 0.000 0.000 x2
4 Pd 0.000 0.289 0.500 x4
5 Pd 0.186 0.386 0.000 x8

Summary:
V: 19.73 Å³/atom
E_form: 51 meV per atom
Total magnetization: 0.000 μB/f.u.

=====

[2]
Below is a geometry-optimized ZnH structure, with properties calculated at the PBE level.

Cell: 2.7379 2.7379 6.3125 Å, 90.00 90.00 120.00°
Space group P6_3mc (No. 186)
One atom of each set of equivalent atoms:
1 Zn 0.3333 0.6667 0.0000 x2
2 H 0.3333 0.6667 0.7188 x2

Summary:
Electronic total energy: -1.914 eV/atom
V: 10.24 Å³/atom
Total magnetization: 0.000 μB/f.u.

=====

[3]
Below is a geometry-optimized Pr2As2P2Pd5 structure, with properties calculated at the PBE level.

Cell: 4.021 4.021 30.367 Å, 90.00 90.00 90.00°
Space group I4/mmm (No. 139)
One atom of each set of equivalent atoms:
1 Pr 0.000 0.000 0.211 x4
2 As 0.000 0.000 0.078 x4
3 P 0.000 0.000 0.315 x4
4 Pd 0.000 0.000 0.000 x2
5 Pd 0.000 0.500 0.129 x8

Summary:
V: 22.31 Å³/atom
E_form: -469 meV per atom
Total magnetization: 0.113 μB/f.u.

=====

[4]
Below is a geometry-optimized AcHPt structure, with properties calculated at the PBE level.

Cell: 4.2693 4.2693 25.8547 Å, 90.00 90.00 120.00°
Space group R-3m (No. 166, hexagonal axes)
One atom of each set of equivalent atoms:
1 Ac 0.0000 0.0000 0.2382 x6
2 H 0.0000 0.0000 0.1367 x6
3 Pt 0.0000 0.0000 0.3622 x6

Summary:
Electronic total energy: -5.117 eV/atom
V: 22.67 Å³/atom
Total magnetization: 0.000 μB/f.u.

=====

[5]
Below is a geometry-optimized SnCSN2 structure, with properties calculated at the PBE level.

Cell: 4.110 4.110 5.253 Å, 90.00 90.00 90.00°
Space group P4/mmm (No. 123)
One atom of each set of equivalent atoms:
1 Sn 0.000 0.000 0.000 x1
2 C 0.500 0.500 0.500 x1
3 S 0.000 0.000 0.500 x1
4 N 0.000 0.500 0.000 x2

Summary:
V: 17.75 Å³/atom
Raw formation energy: 2582 meV/atom
Total magnetization: 2.011 μB/f.u.

=====

[6]
Below is a geometry-optimized CePa2CrN5 structure, with properties calculated at the PBE level.

Cell: 6.545 6.545 11.109 Å, 90.00 90.00 90.00°
Space group I4/mcm (No. 140)
One atom of each set of equivalent atoms:
1 Ce 0.000 0.000 0.250 x4
2 Pa 0.173 0.327 0.000 x8
3 Cr 0.000 0.500 0.250 x4
4 N 0.000 0.000 0.000 x4
5 N 0.149 0.351 0.360 x16

Summary:
V: 13.22 Å³/atom
Raw formation energy: -1338 meV/atom
Total magnetization: 0.728 μB/f.u.